No. 1
# Pu2SiTc

Crystalline Pu2SiTc at its relaxed geometry (PBE-GGA, Alexandria).

Summary:
symmetry	P4/mmm, No. 123
offset from the most stable computed form	0.000	eV per atom
volume	76.3	Å³/cell
formation energy (no corrections)	-0.229	eV per atom

a b c (Å): 3.6881 3.6881 5.6066
angles (deg): 90.00 90.00 90.00
Fractional coordinates of all 4 atoms:
Pu: 0.0000 0.0000 0.2417
Pu: 0.0000 0.0000 0.7583
Si: 0.5000 0.5000 0.0000
Tc: 0.5000 0.5000 0.5000

No. 2
# DyErPb

Crystalline DyErPb at its relaxed geometry (PBE-GGA, Alexandria).

Summary:
symmetry	P3m1, No. 156
offset from the most stable computed form	0.224	eV per atom
volume	89.6	Å³/cell
energy relative to the elements	-0.1896	eV/atom

a b c (Å): 3.6903 5.2935 5.2935
angles (deg): 120.00 90.00 90.00
Fractional coordinates of all 3 atoms:
Dy: 0.7252 0.3333 0.6667
Pb: 0.0143 0.0000 0.0000
Er: 0.2604 0.6667 0.3333

No. 3
# RbLiAgO2

Crystalline RbLiAgO2 at its relaxed geometry (PBE-GGA, Alexandria).

Summary:
symmetry	Pmmm, No. 47
offset from the most stable computed form	0.079	eV per atom
volume	79.7	Å³/cell
formation energy (no corrections)	-0.836	eV per atom

a b c (Å): 3.5608 3.5342 6.3317
angles (deg): 90.00 90.00 90.00
Fractional coordinates of all 5 atoms:
Ag: 0.5000 0.0000 0.0000
Rb: 0.5000 0.5000 0.5000
O: 0.0000 0.0000 0.2040
O: 0.0000 0.0000 0.7960
Li: 0.0000 0.5000 0.0000

No. 4
# K2ZrCr

Crystalline K2ZrCr at its relaxed geometry (PBE-GGA, Alexandria).

Summary:
symmetry	P4/mmm, No. 123
offset from the most stable computed form	0.481	eV per atom
volume	129.3	Å³/cell
energy relative to the elements	1.1582	eV/atom

a b c (Å): 3.2101 3.2101 12.5435
angles (deg): 90.00 90.00 90.00
Fractional coordinates of all 4 atoms:
Zr: 0.5000 0.5000 0.2500
K: 0.0000 0.0000 0.9835
K: 0.0000 0.0000 0.5165
Cr: 0.5000 0.5000 0.7500

No. 5
# CuPO4

Crystalline CuPO4 at its relaxed geometry (PBE-GGA, Alexandria).

Summary:
symmetry	P2_1/c, No. 14
volume	117.4	Å³/cell
formation energy (no corrections)	-1.150	eV per atom

a b c (Å): 4.7339 5.2821 5.3923
angles (deg): 119.49 90.00 90.00
Fractional coordinates of all 12 atoms:
O: 0.1477 0.8713 0.6929
O: 0.8523 0.1287 0.3071
O: 0.8166 0.6925 0.8646
O: 0.1834 0.3075 0.1354
O: 0.6477 0.6287 0.3071
O: 0.6834 0.1925 0.8646
O: 0.3166 0.8075 0.1354
O: 0.3523 0.3713 0.6929
Cu: 0.0000 0.5000 0.5000
Cu: 0.5000 0.0000 0.5000
P: 0.0000 0.0000 0.0000
P: 0.5000 0.5000 0.0000

Q: What is the volume in the third record?
A: 79.7 Å³/cell